1 | The following is a PBEsol calculation of crystalline PSe2Cl at its relaxed geometry, from Alexandria.

## Properties
volume: 22.0 Å³ per atom
M_tot: 0.000 μB/f.u.

abc: 6.124 6.124 6.124
angles: 105.51 111.49 111.49
Sites, in units of the cell vectors:
Se1 0.936 0.561 0.125
Se2 0.564 0.375 0.439
Se3 0.436 0.875 0.811
Se4 0.064 0.189 0.625
Cl1 0.500 0.750 0.250
Cl2 0.000 0.000 0.000
P1 0.500 0.250 0.750
P2 0.000 0.500 0.500



2 | The following is a PBEsol calculation of crystalline PSe2Cl at its relaxed geometry, from Alexandria.

## Properties
volume: 22.9 Å³ per atom
M_tot: 0.001 μB/f.u.

abc: 2.539 5.113 7.506
angles: 109.91 90.00 90.00
Sites, in units of the cell vectors:
Se1 0.000 0.500 0.500
Se2 0.000 0.000 0.500
Cl1 0.500 0.000 0.000
P1 0.500 0.500 0.000



Relative energies in eV/atom: 1 0.000; 2 0.309



1 | The following is a PBEsol calculation of crystalline SiPCl2 at its relaxed geometry, from Alexandria.

## Properties
volume: 16.6 Å³ per atom
M_tot: 0.000 μB/f.u.

abc: 4.546 4.546 4.546
angles: 60.00 60.00 60.00
Sites, in units of the cell vectors:
P1 0.500 0.500 0.500
Cl1 0.000 0.000 0.000
Cl2 0.250 0.250 0.250
Si1 0.750 0.750 0.750



2 | The following is a PBEsol calculation of crystalline SiPCl2 at its relaxed geometry, from Alexandria.

## Properties
volume: 17.4 Å³ per atom
M_tot: 0.000 μB/f.u.

abc: 2.974 3.985 5.867
angles: 90.00 90.00 90.00
Sites, in units of the cell vectors:
P1 0.500 0.500 0.000
Cl1 0.000 0.000 0.252
Cl2 0.000 0.000 0.748
Si1 0.500 0.500 0.500



Relative energies in eV/atom: 1 0.000; 2 0.156



1 | The following is a PBEsol calculation of crystalline TiSiPCl2 at its relaxed geometry, from Alexandria.

## Properties
volume: 19.4 Å³ per atom
M_tot: 1.820 μB/f.u.

abc: 4.520 4.520 4.740
angles: 90.00 90.00 90.00
Each line ends with the local moment (μB).
Sites, in units of the cell vectors:
Cl1 0.000 0.500 0.000  -0.03
Cl2 0.500 0.000 0.000  -0.03
P1 0.000 0.000 0.500  -0.10
Ti1 0.500 0.500 0.500  1.67
Si1 0.000 0.000 0.000  0.00



2 | The following is a PBEsol calculation of crystalline TiSiPCl2 at its relaxed geometry, from Alexandria.

## Properties
volume: 20.6 Å³ per atom
M_tot: 0.001 μB/f.u.

abc: 4.538 4.538 5.008
angles: 90.00 90.00 90.00
Sites, in units of the cell vectors:
Cl1 0.000 0.500 0.000
Cl2 0.500 0.000 0.000
Si1 0.500 0.500 0.500
Ti1 0.000 0.000 0.000
P1 0.000 0.000 0.500



Relative energies in eV/atom: 1 0.330; 2 0.000



1 | The following is a PBEsol calculation of crystalline SrP2Cl at its relaxed geometry, from Alexandria.

## Properties
volume: 23.9 Å³ per atom
M_tot: 0.000 μB/f.u.

abc: 3.545 4.538 5.955
angles: 90.00 90.00 91.76
Sites, in units of the cell vectors:
Sr1 0.000 0.500 0.500
Cl1 0.500 0.000 0.500
P1 0.243 0.349 0.000
P2 0.757 0.651 0.000



2 | The following is a PBEsol calculation of crystalline SrP2Cl at its relaxed geometry, from Alexandria.

## Properties
volume: 23.9 Å³ per atom
M_tot: 0.000 μB/f.u.

abc: 3.535 3.947 6.988
angles: 101.53 90.00 90.00
Sites, in units of the cell vectors:
P1 0.000 0.004 0.136
P2 0.500 0.677 0.169
Sr1 0.000 0.629 0.513
Cl1 0.500 0.190 0.682



3 | The following is a PBEsol calculation of crystalline SrP2Cl at its relaxed geometry, from Alexandria.

## Properties
volume: 26.4 Å³ per atom
M_tot: 0.001 μB/f.u.

abc: 4.351 4.351 5.585
angles: 90.00 90.00 90.00
Sites, in units of the cell vectors:
P1 0.000 0.000 0.819
P2 0.000 0.000 0.181
Cl1 0.500 0.500 0.500
Sr1 0.500 0.500 0.000



4 | The following is a PBEsol calculation of crystalline SrP2Cl at its relaxed geometry, from Alexandria.

## Properties
volume: 21.2 Å³ per atom
M_tot: 0.000 μB/f.u.

abc: 4.932 4.932 4.932
angles: 60.00 60.00 60.00
Sites, in units of the cell vectors:
P1 0.250 0.250 0.250
P2 0.000 0.000 0.000
Cl1 0.500 0.500 0.500
Sr1 0.750 0.750 0.750



Relative energies in eV/atom: 1 0.053; 2 0.000; 3 0.309; 4 0.664



1 | The following is a PBEsol calculation of crystalline TaP2Cl at its relaxed geometry, from Alexandria.

## Properties
volume: 18.6 Å³ per atom
M_tot: 0.000 μB/f.u.

abc: 2.775 2.775 9.929
angles: 90.00 90.00 103.72
Sites, in units of the cell vectors:
Ta1 0.500 0.500 0.500
P1 0.000 0.000 0.690
P2 0.000 0.000 0.310
Cl1 0.500 0.500 0.000



2 | The following is a PBEsol calculation of crystalline TaP2Cl at its relaxed geometry, from Alexandria.

## Properties
volume: 15.9 Å³ per atom
M_tot: 0.000 μB/f.u.

abc: 3.125 4.677 4.938
angles: 118.27 90.00 90.00
Sites, in units of the cell vectors:
P1 0.000 0.000 0.500
P2 0.000 0.500 0.500
Cl1 0.500 0.500 0.000
Ta1 0.500 0.000 0.000



Relative energies in eV/atom: 1 0.000; 2 0.160



1 | The following is a PBEsol calculation of crystalline TaP2Cl at its relaxed geometry, from Alexandria.

## Properties
volume: 15.6 Å³ per atom
M_tot: 0.000 μB/f.u.

abc: 4.452 4.452 4.452
angles: 60.00 60.00 60.00
Sites, in units of the cell vectors:
Ta1 0.500 0.500 0.500
P1 0.250 0.250 0.250
P2 0.750 0.750 0.750
Cl1 0.000 0.000 0.000



2 | The following is a PBEsol calculation of crystalline TaP2Cl at its relaxed geometry, from Alexandria.

## Properties
volume: 15.4 Å³ per atom
M_tot: 0.000 μB/f.u.

abc: 2.741 4.741 4.741
angles: 90.00 90.00 90.00
Sites, in units of the cell vectors:
Cl1 0.500 0.000 0.000
P1 0.000 0.500 0.000
P2 0.000 0.000 0.500
Ta1 0.500 0.500 0.500



Relative energies in eV/atom: 1 0.008; 2 0.000